(1)
Here is crystalline CaSb2Pd2 at its relaxed geometry from the Alexandria database. Energies are from GGA-PBE.

Spin magnetization ... 0.000 μB/atom
Raw formation energy ... -2.66 eV/f.u.
Space group ... P4/mbm, No. 127
Mass density ... 7.60 g/cm3

a b c (Å): 7.9046 7.9046 3.4727
angles (deg): 90.00 90.00 90.00
Fractional positions:
Ca (0.0000, 0.0000, 0.0000)
Ca (0.5000, 0.5000, 0.0000)
Sb (0.1697, 0.3303, 0.5000)
Sb (0.3303, 0.8303, 0.5000)
Sb (0.6697, 0.1697, 0.5000)
Sb (0.8303, 0.6697, 0.5000)
Pd (0.1256, 0.6256, 0.0000)
Pd (0.3744, 0.1256, 0.0000)
Pd (0.6256, 0.8744, 0.0000)
Pd (0.8744, 0.3744, 0.0000)


(2)
Here is crystalline CaSbPd at its relaxed geometry from the Alexandria database. Energies are from GGA-PBE.

Spin magnetization ... 0.000 μB/atom
Raw formation energy ... -1.71 eV/f.u.
Space group ... I4mm, No. 107
Mass density ... 6.14 g/cm3

a b c (Å): 5.8104 5.8104 5.8104
angles (deg): 142.39 142.39 54.25
Fractional positions:
Ca (0.0000, 0.0000, 0.0000)
Sb (0.2987, 0.2987, 0.0000)
Pd (0.6991, 0.6991, 0.0000)


(3)
Here is crystalline CaSbPd3 at its relaxed geometry from the Alexandria database. Energies are from GGA-PBE.

Spin magnetization ... 0.000 μB/atom
E above lowest polymorph ... 329.5 meV per atom
Raw formation energy ... -1.40 eV/f.u.
Space group ... Pm-3m, No. 221
Mass density ... 6.47 g/cm3

a b c (Å): 4.9794 4.9794 4.9794
angles (deg): 90.00 90.00 90.00
Fractional positions:
Ca (0.0000, 0.0000, 0.0000)
Sb (0.5000, 0.5000, 0.5000)
Pd (0.0000, 0.5000, 0.5000)
Pd (0.5000, 0.0000, 0.5000)
Pd (0.5000, 0.5000, 0.0000)


(4)
Here is crystalline Ca3SbPd8 at its relaxed geometry from the Alexandria database. Energies are from GGA-PBE.

Spin magnetization ... 0.000 μB/atom
Raw formation energy ... -6.91 eV/f.u.
Space group ... R3m, No. 160
Mass density ... 7.87 g/cm3

a b c (Å): 9.4192 9.4192 9.4192
angles (deg): 33.82 33.82 33.82
Fractional positions:
Ca (0.0000, 0.0000, 0.0000)
Ca (0.1300, 0.1300, 0.1300)
Ca (0.6146, 0.6146, 0.6146)
Sb (0.4835, 0.4835, 0.4835)
Pd (0.0604, 0.5641, 0.5641)
Pd (0.0643, 0.0643, 0.5633)
Pd (0.0643, 0.5633, 0.0643)
Pd (0.3136, 0.3136, 0.3136)
Pd (0.5633, 0.0643, 0.0643)
Pd (0.5641, 0.0604, 0.5641)
Pd (0.5641, 0.5641, 0.0604)
Pd (0.8146, 0.8146, 0.8146)